No. 1
La4AlRu GGA-PBE optimized geometry; total moment = 0.00 Bohr magnetons per cell; calculated total energy = -5.71 eV per atom; energy of formation from the pure elements = -254.2 meV per atom; ΔE to the lowest computed polymorph = 0.0000 eV per atom
1.0
6.2476 0.2603 -1.2093
-2.1908 7.1790 -2.6848
0.1783 -0.2003 7.9670
Ru La Al
2 8 2
Cartesian
2.4977 7.3655 -3.5793
1.7375 -0.1266 7.6522
6.0021 0.4676 4.4273
2.9386 1.9747 6.1527
1.2966 5.2643 -2.0798
-0.1706 2.7022 0.5387
0.8832 5.6489 2.3457
3.3520 1.5901 1.7272
4.4058 4.5368 3.5342
-1.7670 6.7713 -0.3544
0.8434 2.6582 3.6325
3.3918 4.5808 0.4404



No. 2
La2AlSbRu GGA-PBE optimized geometry; total moment = 0.00 Bohr magnetons per cell; calculated total energy = -6.02 eV per atom; raw formation energy = -0.624 eV/atom
1.0
-3.2315 -1.8898 -3.9194
3.3943 -4.1494 -0.7979
-2.4262 -2.6114 3.2594
Al Sb Ru La
1 1 1 2
Cartesian
-1.2131 -1.3057 1.6297
-1.1317 -4.3253 -0.7289
0.0000 0.0000 0.0000
1.6971 -2.0747 -0.3989
-1.6157 -0.9449 -1.9597



No. 3
LaSc2AlRu GGA-PBE optimized geometry; total moment = 0.00 Bohr magnetons per cell; calculated total energy = -6.42 eV per atom; energy of formation from the pure elements = -293.7 meV per atom
1.0
4.9636 0.0000 0.0000
0.0000 4.9630 0.0000
0.0000 0.0000 4.9636
Al La Sc Ru
1 1 2 1
Cartesian
0.0000 2.4815 0.0000
2.4818 2.4815 2.4818
0.0000 0.0000 2.4818
2.4818 0.0000 0.0000
0.0000 0.0000 0.0000



No. 4
LaAlRu2Se GGA-PBE optimized geometry; total moment = 2.23 Bohr magnetons per cell; calculated total energy = -4.64 eV per atom; raw formation energy = 1.500 eV/atom
1.0
-3.6169 2.8095 -1.4823
-0.3954 -3.0792 -4.8712
-3.1595 -2.9487 2.1204
Ru Al La Se
2 1 1 1
Cartesian
-1.8085 1.4048 -0.7412
-1.5797 -1.4743 1.0602
-0.1977 -1.5396 -2.4356
0.0000 0.0000 0.0000
-3.5859 -1.6091 -2.1166